No. 1
First-principles (PBE) data for GeMo4PC2 after structural relaxation, as listed in the Open Quantum Materials Database.

a = 3.164 Å, b = 3.164 Å, c = 12.149 Å
α = 90.00°, β = 90.00°, γ = 120.00°
Fractional positions:
Mo 0.000 0.000 0.354
Mo 0.667 0.333 0.170
Mo 0.667 0.333 0.830
Mo 0.000 0.000 0.646
C 0.333 0.667 0.256
C 0.333 0.667 0.744
P 0.667 0.333 0.500
Ge 0.000 0.000 0.000

***

No. 2
First-principles (PBE) data for GeMo4PC2 after structural relaxation, as listed in the Open Quantum Materials Database.

a = 3.164 Å, b = 3.164 Å, c = 12.148 Å
α = 90.00°, β = 90.00°, γ = 120.00°
Fractional positions:
Ge 0.333 0.667 0.500
C 0.000 0.000 0.756
C 0.000 0.000 0.244
Mo 0.667 0.333 0.330
Mo 0.667 0.333 0.670
Mo 0.333 0.667 0.146
Mo 0.333 0.667 0.854
P 0.667 0.333 0.000

***

No. 3
First-principles (PBE) data for GeMo4PbC2 after structural relaxation, as listed in the Open Quantum Materials Database.

a = 3.197 Å, b = 3.197 Å, c = 13.171 Å
α = 90.00°, β = 90.00°, γ = 120.00°
Fractional positions:
Mo 0.667 0.333 0.147
Mo 0.333 0.667 0.686
Mo 0.667 0.333 0.853
Mo 0.333 0.667 0.314
Ge 0.333 0.667 0.000
Pb 0.667 0.333 0.500
C 0.000 0.000 0.236
C 0.000 0.000 0.764

***

No. 4
First-principles (PBE) data for GeMo4C2S after structural relaxation, as listed in the Open Quantum Materials Database.

a = 3.170 Å, b = 3.170 Å, c = 12.203 Å
α = 90.00°, β = 90.00°, γ = 120.00°
Fractional positions:
Mo 0.333 0.667 0.346
Mo 0.667 0.333 0.835
Mo 0.333 0.667 0.654
Mo 0.667 0.333 0.165
C 0.000 0.000 0.745
C 0.000 0.000 0.255
S 0.667 0.333 0.500
Ge 0.333 0.667 0.000

***

Number 1: E_tot -72.785 eV per cell. Number 2: E_tot -72.786 eV per cell. Number 3: E_tot -69.631 eV per cell. Number 4: E_tot -71.162 eV per cell.